[1]
Dy5Pa2S12: optimized geometry, PBE.

Calculated values
Formation energy (no corrections) (meV per atom): -1831
DFT total energy (eV per atom): -6.648
Symmetry: No. 12

Cell and atoms, written as POSCAR:
```
Dy5Pa2S12
1.0
7.378 0.000 0.000
-3.689 7.593 0.006
0.000 -2.666 8.512
Dy S Pa
5 12 2
Cartesian
0.000 2.747 5.395
3.689 0.673 6.950
0.000 -1.333 4.256
0.000 4.253 1.568
3.689 2.180 3.124
3.689 -2.059 6.594
0.000 6.985 1.925
1.828 4.175 3.740
5.517 0.751 4.778
-1.679 2.460 7.675
1.679 2.460 7.675
5.368 2.466 0.843
2.010 2.466 0.843
-1.828 4.175 3.740
0.000 -1.918 6.849
3.689 6.845 1.670
1.861 0.751 4.778
5.485 0.000 0.000
1.893 0.000 0.000
```

[2]
TbPr4Er: optimized geometry, PBE.

Calculated values
Formation enthalpy at 0 K (eV/atom): 0.106
DFT total energy (eV per atom): -4.612
Excess energy over the best structure of this formula in the dataset (kJ per mole of atoms): 8.1
Symmetry: No. 12

Cell and atoms, written as POSCAR:
```
TbPr4Er
1.0
-4.320 -0.437 4.217
0.971 -3.970 4.927
-0.631 5.552 4.272
Pr Er Tb
4 1 1
Cartesian
-2.162 -2.940 6.168
-0.808 2.100 3.734
-3.173 -0.955 9.682
-1.819 4.086 7.248
0.000 0.000 0.000
-1.990 0.573 6.708
```

[3]
TlWCl2: optimized geometry, PBE.

Calculated values
Formation energy (no corrections) (meV per atom): 661
DFT total energy (eV per atom): -4.093
Excess energy over the best structure of this formula in the dataset (kJ per mole of atoms): 64.4
Symmetry: No. 47

Cell and atoms, written as POSCAR:
```
TlWCl2
1.0
3.110 0.000 0.000
0.000 5.676 0.000
0.000 0.000 4.702
Cl Tl W
2 1 1
Cartesian
1.555 2.838 0.000
0.000 0.000 0.000
1.555 0.000 2.351
0.000 2.838 2.351
```

[4]
Pm5Zn4Pd: optimized geometry, PBE.

Calculated values
Formation enthalpy at 0 K (eV/atom): -0.412
DFT total energy (eV per atom): -3.816
Symmetry: No. 123

Cell and atoms, written as POSCAR:
```
Pm5Zn4Pd
1.0
3.667 0.000 0.000
0.000 3.667 0.000
0.000 0.000 18.051
Pm Zn Pd
5 4 1
Cartesian
1.834 1.834 5.377
1.834 1.834 16.322
1.834 1.834 9.025
1.834 1.834 12.674
1.834 1.834 1.729
0.000 0.000 14.454
0.000 0.000 3.597
0.000 0.000 7.186
0.000 0.000 10.865
0.000 0.000 0.000
```

[5]
PmNd4Tl3: optimized geometry, PBE.

Calculated values
Formation enthalpy at 0 K (eV/atom): -0.244
DFT total energy (eV per atom): -4.109
Symmetry: No. 166

Cell and atoms, written as POSCAR:
```
PmNd4Tl3
1.0
-3.112 4.514 0.792
-5.401 -0.108 -1.231
-4.775 -1.402 8.604
Tl Nd Pm
3 4 1
Cartesian
-3.239 0.874 1.666
-6.644 1.502 4.083
-10.049 2.130 6.500
-9.280 3.270 3.027
-5.990 2.472 1.128
-4.008 -0.265 5.139
-7.298 0.532 7.038
0.000 0.000 0.000
```

[6]
La4Y10Tm: optimized geometry, PBE.

Calculated values
Formation enthalpy at 0 K (eV/atom): 0.367
DFT total energy (eV per atom): -5.555
Symmetry: No. 87

Cell and atoms, written as POSCAR:
```
La4Y10Tm
1.0
-2.229 -10.285 1.420
4.054 -6.872 -3.705
3.392 -5.378 6.079
La Y Tm
4 10 1
Cartesian
4.255 -11.692 1.408
2.024 -16.293 4.290
3.193 -6.243 -0.497
0.962 -10.843 2.386
2.051 -13.839 2.252
4.035 -18.825 2.009
3.166 -8.696 1.542
4.759 -15.482 1.548
1.183 -3.710 1.784
0.458 -7.053 2.245
3.872 -9.382 4.633
1.345 -13.153 -0.840
3.147 -12.725 5.095
2.070 -9.810 -1.301
0.000 0.000 0.000
```

[7]
Pm3BiH: optimized geometry, PBE.

Calculated values
DFT total energy (eV per atom): -4.675
Excess energy over the best structure of this formula in the dataset (kJ per mole of atoms): 11.8
Symmetry: No. 4

Cell and atoms, written as POSCAR:
```
Pm3BiH
1.0
-2.519 -3.689 -1.537
3.742 -4.213 3.979
-6.631 -0.740 5.451
H Pm Bi
2 6 2
Cartesian
-7.490 -4.865 4.255
-0.931 -3.716 5.284
-3.969 -7.963 5.924
-6.382 -2.853 4.873
1.115 -4.833 4.605
-1.385 -4.719 1.098
-3.025 -2.225 5.132
-2.333 -5.396 4.353
-4.213 -3.201 2.162
-4.692 -4.834 6.862
```

[8]
LiSN2O: optimized geometry, PBE.

Calculated values
Formation energy (no corrections) (meV per atom): 1938
DFT total energy (eV per atom): -3.592
Symmetry: No. 123

Cell and atoms, written as POSCAR:
```
LiSN2O
1.0
3.921 0.000 0.000
0.000 3.921 0.000
0.000 0.000 3.434
Li N S O
1 2 1 1
Cartesian
0.000 0.000 0.000
1.960 0.000 0.000
0.000 1.960 0.000
1.960 1.960 1.717
0.000 0.000 1.717
```

Copy entry 6 word for word.
La4Y10Tm: optimized geometry, PBE.

Calculated values
Formation enthalpy at 0 K (eV/atom): 0.367
DFT total energy (eV per atom): -5.555
Symmetry: No. 87

Cell and atoms, written as POSCAR:
```
La4Y10Tm
1.0
-2.229 -10.285 1.420
4.054 -6.872 -3.705
3.392 -5.378 6.079
La Y Tm
4 10 1
Cartesian
4.255 -11.692 1.408
2.024 -16.293 4.290
3.193 -6.243 -0.497
0.962 -10.843 2.386
2.051 -13.839 2.252
4.035 -18.825 2.009
3.166 -8.696 1.542
4.759 -15.482 1.548
1.183 -3.710 1.784
0.458 -7.053 2.245
3.872 -9.382 4.633
1.345 -13.153 -0.840
3.147 -12.725 5.095
2.070 -9.810 -1.301
0.000 0.000 0.000
```